Density functional theory data (PBE-GGA) for a relaxed La6CoPtPb2 crystal.

Total moment = 0.0 μB/f.u.
N(E_F) = 0.952 states/eV/atom
Total DFT energy (no corrections) = -5.534 eV per atom
Mass density = 7.925 g/cm³
Space-group type = R-3m

abc: 12.9471 12.9471 12.9471
angles: 34.75 34.75 34.75
Last column: nearest neighbours and their distance in Å.
Positions (direct):
1 La 0.1479 0.1479 0.5933  1 Co 2.82, 1 Pt 2.86
2 La 0.1479 0.5933 0.1479  1 Co 2.82, 1 Pt 2.86
3 La 0.2151 0.7063 0.7063  1 Co 2.69, 1 Pt 2.86
4 La 0.2937 0.2937 0.7849  1 Co 2.69, 1 Pt 2.86
5 La 0.2937 0.7849 0.2937  1 Co 2.69, 1 Pt 2.86
6 La 0.4067 0.8521 0.8521  1 Co 2.82, 1 Pt 2.86
7 La 0.5933 0.1479 0.1479  1 Co 2.82, 1 Pt 2.86
8 La 0.7063 0.2151 0.7063  1 Co 2.69, 1 Pt 2.86
9 La 0.7063 0.7063 0.2151  1 Co 2.69, 1 Pt 2.86
10 La 0.7849 0.2937 0.2937  1 Co 2.69, 1 Pt 2.86
11 La 0.8521 0.4067 0.8521  1 Co 2.82, 1 Pt 2.86
12 La 0.8521 0.8521 0.4067  1 Co 2.82, 1 Pt 2.86
13 Co 0.0000 0.0000 0.0000  2 Pt 2.79, 6 La 2.82
14 Co 0.5000 0.5000 0.5000  6 La 2.69
15 Pt 0.0764 0.0764 0.0764  1 Co 2.79, 6 La 2.86
16 Pt 0.9236 0.9236 0.9236  1 Co 2.79, 6 La 2.86
17 Pb 0.2075 0.2075 0.2075  12 La 3.80-3.87
18 Pb 0.3776 0.3776 0.3776  12 La 3.57-3.88
19 Pb 0.6224 0.6224 0.6224  12 La 3.57-3.88
20 Pb 0.7925 0.7925 0.7925  12 La 3.80-3.87

=====

Density functional theory data (PBE-GGA) for a relaxed La2CoRhPb crystal.

Total moment = 2.0 μB/f.u.
N(E_F) = 0.991 states/eV/atom
Total DFT energy (no corrections) = -5.745 eV per atom
Mass density = 7.527 g/cm³
Space-group type = P4/mmm

abc: 5.5089 5.5089 4.7020
angles: 90.00 90.00 90.00
Last column: nearest neighbours and their distance in Å.
Positions (direct):
1 La 0.0000 0.5000 0.0000  2 Rh 2.75
2 La 0.5000 0.0000 0.0000  2 Rh 2.75
3 Co 0.0000 0.0000 0.5000  2 Rh 2.35
4 Rh 0.0000 0.0000 0.0000  2 Co 2.35
5 Pb 0.5000 0.5000 0.5000  8 La 3.62, 4 Co 3.90

=====

Density functional theory data (PBE-GGA) for a relaxed La6CoRuPb2 crystal.

Total moment = 0.0 μB/f.u.
N(E_F) = 0.660 states/eV/atom
Total DFT energy (no corrections) = -5.753 eV per atom
Mass density = 7.418 g/cm³
Space-group type = C2/m

abc: 7.6196 7.6196 7.6291
angles: 119.66 119.66 90.46
Last column: nearest neighbours and their distance in Å.
Positions (direct):
1 La 0.2447 0.2447 0.0006  1 Co 2.62, 1 Ru 2.74
2 La 0.2472 0.7528 0.0000  1 Co 2.67, 1 Ru 2.74
3 La 0.2485 0.2485 0.4968  1 Co 2.70, 1 Ru 2.73
4 La 0.7515 0.7515 0.5032  1 Co 2.70, 1 Ru 2.73
5 La 0.7528 0.2472 0.0000  1 Co 2.67, 1 Ru 2.74
6 La 0.7553 0.7553 0.9994  1 Co 2.62, 1 Ru 2.74
7 Co 0.0000 0.0000 0.0000  6 La 2.62-2.70
8 Ru 0.5000 0.5000 0.0000  6 La 2.73-2.74
9 Pb 0.2499 0.7501 0.5000  12 La 3.81-3.83
10 Pb 0.7501 0.2499 0.5000  12 La 3.81-3.83

=====

Density functional theory data (PBE-GGA) for a relaxed LaCoRu2Pb crystal.

Total moment = 1.8 μB/f.u.
N(E_F) = 1.377 states/eV/atom
Total DFT energy (no corrections) = -5.421 eV per atom
Mass density = 8.944 g/cm³
Space-group type = P4/mmm

abc: 4.9076 4.9076 4.6808
angles: 90.00 90.00 90.00
Last column: nearest neighbours and their distance in Å.
Positions (direct):
1 La 0.0000 0.0000 0.0000  2 Co 2.34, 4 Ru 2.45
2 Co 0.0000 0.0000 0.5000  2 La 2.34
3 Ru 0.0000 0.5000 0.0000  2 La 2.45
4 Ru 0.5000 0.0000 0.0000  2 La 2.45
5 Pb 0.5000 0.5000 0.5000  8 Ru 3.39, 4 Co 3.47

=====

Density functional theory data (PBE-GGA) for a relaxed La2CoSbPb crystal.

Total moment = 0.0 μB/f.u.
N(E_F) = 0.670 states/eV/atom
Total DFT energy (no corrections) = -5.506 eV per atom
Mass density = 7.814 g/cm³
Space-group type = P4/mmm

abc: 5.3564 5.3564 4.9310
angles: 90.00 90.00 90.00
Last column: nearest neighbours and their distance in Å.
Positions (direct):
1 La 0.0000 0.5000 0.0000  2 Co 2.68
2 La 0.5000 0.0000 0.0000  2 Co 2.68
3 Co 0.0000 0.0000 0.0000  2 Pb 2.47, 4 La 2.68
4 Sb 0.5000 0.5000 0.5000  8 La 3.64, 4 Pb 3.79
5 Pb 0.0000 0.0000 0.5000  2 Co 2.47

=====

Density functional theory data (PBE-GGA) for a relaxed LaCoSbPb2 crystal.

Total moment = 0.0 μB/f.u.
N(E_F) = 0.441 states/eV/atom
Total DFT energy (no corrections) = -5.028 eV per atom
Mass density = 9.072 g/cm³
Space-group type = P4/mmm

abc: 5.0984 5.0984 5.1683
angles: 90.00 90.00 90.00
Last column: nearest neighbours and their distance in Å.
Positions (direct):
1 La 0.0000 0.0000 0.0000  2 Co 2.58
2 Co 0.0000 0.0000 0.5000  4 Pb 2.55, 2 La 2.58
3 Sb 0.5000 0.5000 0.0000  4 La 3.61, 8 Pb 3.63
4 Pb 0.0000 0.5000 0.5000  2 Co 2.55
5 Pb 0.5000 0.0000 0.5000  2 Co 2.55

=====

Density functional theory data (PBE-GGA) for a relaxed La4CoSbPb crystal.

Total moment = 0.0 μB/f.u.
N(E_F) = 0.572 states/eV/atom
Total DFT energy (no corrections) = -5.574 eV per atom
Mass density = 6.995 g/cm³
Space-group type = Cmcm

abc: 9.5279 9.5279 7.1219
angles: 90.00 90.00 136.14
Last column: nearest neighbours and their distance in Å.
Positions (direct):
1 La 0.0000 0.5000 0.0000  2 Co 2.52
2 La 0.0000 0.5000 0.5000  2 Co 2.52
3 La 0.0773 0.9227 0.7500  1 Co 3.03, 1 Sb 3.31
4 La 0.4229 0.5771 0.7500  1 Co 3.08, 1 Pb 3.28
5 La 0.5000 0.0000 0.0000  2 Co 2.52
6 La 0.5000 0.0000 0.5000  2 Co 2.52
7 La 0.5771 0.4229 0.2500  1 Co 3.08, 1 Pb 3.28
8 La 0.9227 0.0773 0.2500  1 Co 3.03, 1 Sb 3.31
9 Co 0.2487 0.7513 0.7500  4 La 2.52
10 Co 0.7513 0.2487 0.2500  4 La 2.52
11 Sb 0.1099 0.8901 0.2500  9 La 3.31-3.61
12 Sb 0.8901 0.1099 0.7500  9 La 3.31-3.61
13 Pb 0.3913 0.6087 0.2500  9 La 3.28-3.60
14 Pb 0.6087 0.3913 0.7500  9 La 3.28-3.60

=====

Density functional theory data (PBE-GGA) for a relaxed LaSc2CoPb crystal.

Total moment = 0.0 μB/f.u.
N(E_F) = 1.062 states/eV/atom
Total DFT energy (no corrections) = -5.955 eV per atom
Mass density = 6.494 g/cm³
Space-group type = P4/mmm

abc: 4.9935 4.9935 5.0757
angles: 90.00 90.00 90.00
Last column: nearest neighbours and their distance in Å.
Positions (direct):
1 La 0.0000 0.0000 0.0000  2 Co 2.54
2 Sc 0.0000 0.5000 0.5000  2 Co 2.50
3 Sc 0.5000 0.0000 0.5000  2 Co 2.50
4 Co 0.0000 0.0000 0.5000  4 Sc 2.50, 2 La 2.54
5 Pb 0.5000 0.5000 0.0000  4 La 3.53, 8 Sc 3.56

=====

Density functional theory data (PBE-GGA) for a relaxed La2SmCoPb crystal.

Total moment = 0.0 μB/f.u.
N(E_F) = 0.553 states/eV/atom
Total DFT energy (no corrections) = -5.439 eV per atom
Mass density = 7.791 g/cm³
Space-group type = P4/mmm

abc: 5.2012 5.2012 5.4699
angles: 90.00 90.00 90.00
Last column: nearest neighbours and their distance in Å.
Positions (direct):
1 La 0.0000 0.5000 0.0000  2 Co 2.60
2 La 0.5000 0.0000 0.0000  2 Co 2.60
3 Sm 0.0000 0.0000 0.5000  2 Co 2.73
4 Co 0.0000 0.0000 0.0000  4 La 2.60, 2 Sm 2.73
5 Pb 0.5000 0.5000 0.5000  4 Sm 3.68, 8 La 3.77

=====

Density functional theory data (PBE-GGA) for a relaxed LaCoSnPb2 crystal.

Total moment = 0.0 μB/f.u.
N(E_F) = 0.491 states/eV/atom
Total DFT energy (no corrections) = -4.918 eV per atom
Mass density = 9.080 g/cm³
Space-group type = P4/mmm

abc: 5.1142 5.1142 5.1109
angles: 90.00 90.00 90.00
Last column: nearest neighbours and their distance in Å.
Positions (direct):
1 La 0.0000 0.0000 0.0000  2 Co 2.56
2 Co 0.0000 0.0000 0.5000  2 La 2.56, 4 Pb 2.56
3 Sn 0.5000 0.5000 0.0000  8 Pb 3.62, 4 La 3.62
4 Pb 0.0000 0.5000 0.5000  2 Co 2.56
5 Pb 0.5000 0.0000 0.5000  2 Co 2.56

=====

Density functional theory data (PBE-GGA) for a relaxed La2CoSnPb crystal.

Energy above the most stable polymorph in this dataset = 0 meV per atom
Total moment = 0.0 μB/f.u.
N(E_F) = 0.509 states/eV/atom
Mass density = 7.912 g/cm³
Space-group type = P4/mmm

abc: 5.3118 5.3118 4.9290
angles: 90.00 90.00 90.00
Last column: nearest neighbours and their distance in Å.
Positions (direct):
1 La 0.0000 0.5000 0.0000  2 Co 2.66
2 La 0.5000 0.0000 0.0000  2 Co 2.66
3 Co 0.0000 0.0000 0.0000  2 Sn 2.46, 4 La 2.66
4 Sn 0.0000 0.0000 0.5000  2 Co 2.46
5 Pb 0.5000 0.5000 0.5000  8 La 3.62, 4 Sn 3.76

=====

Density functional theory data (PBE-GGA) for a relaxed La2CoSnPb crystal.

Energy above the most stable polymorph in this dataset = 65 meV per atom
Total moment = 0.0 μB/f.u.
N(E_F) = 0.512 states/eV/atom
Mass density = 7.854 g/cm³
Space-group type = P4/mmm

abc: 5.2899 5.2899 5.0067
angles: 90.00 90.00 90.00
Last column: nearest neighbours and their distance in Å.
Positions (direct):
1 La 0.0000 0.5000 0.0000  2 Co 2.64
2 La 0.5000 0.0000 0.0000  2 Co 2.64
3 Co 0.0000 0.0000 0.0000  2 Pb 2.50, 4 La 2.64
4 Sn 0.5000 0.5000 0.5000  8 La 3.64, 4 Pb 3.74
5 Pb 0.0000 0.0000 0.5000  2 Co 2.50

=====

Question: Which formula does entry 8 have?
Answer: LaSc2CoPb

=====

Question: N(E_F) of number 3 (La6CoRuPb2)?
Answer: 0.660 states/eV/atom